# AlInAu2

AlInAu2 after structural relaxation (PBE, the Alexandria database).

```
AlInAu2
1.0
4.906 -0.020 0.035
3.574 3.362 0.035
0.806 0.317 4.761
Al Au In
1 2 1
direct
0.739 0.739 0.833 Al
0.011 0.011 0.941 Au
0.248 0.248 0.253 Au
0.502 0.502 0.473 In
```

Calculated formation energy = -0.19 eV per atom
VASP energy = -3.449 eV/atom